DFT (PBE) results for a relaxed structure of ReP2AuO.

Results
Its space group is No. 123. The value obtained for the energy relative to the lowest polymorph listed for this composition is 1434.9 meV/atom. The value obtained for the density is 8.6 g/cm3. Its total DFT energy (no corrections) is -24.4 eV per cell. The magnetization is 2.69 μB/f.u. The value obtained for the density of states at the Fermi level is 3.5 states/eV/f.u.

Cell: 4.797 3.862 4.797 Å, 90.00 90.00 90.00°
Last column: magnetic moment on the atom in μB.
Atoms (fractional coordinates):
1 Au 0.000 0.000 0.000  -0.03
2 P 0.500 0.000 0.000  -0.17
3 P 0.000 0.000 0.500  -0.14
4 O 0.000 0.500 0.000  0.03
5 Re 0.500 0.500 0.500  2.77

=====

DFT (PBE) results for a relaxed structure of RePAuO2.

Results
Its space group is No. 123. The value obtained for the energy relative to the lowest polymorph listed for this composition is 0.0 meV/atom. The value obtained for the density is 10.0 g/cm3. Its total DFT energy (no corrections) is -34.4 eV per cell. The magnetization is 0.00 μB/f.u. The value obtained for the density of states at the Fermi level is 2.5 states/eV/f.u.

Cell: 3.746 3.746 5.279 Å, 90.00 90.00 90.00°
Atoms (fractional coordinates):
1 O 0.000 0.500 0.000
2 Au 0.500 0.500 0.500
3 Re 0.000 0.000 0.000
4 O 0.500 0.000 0.000
5 P 0.000 0.000 0.500

=====

Which of these has the highest magnetization?
ReP2AuO

=====

What is the formula in the first record?
ReP2AuO

=====

Copy entry 1 word for word.
DFT (PBE) results for a relaxed structure of ReP2AuO.

Results
Its space group is No. 123. The value obtained for the energy relative to the lowest polymorph listed for this composition is 1434.9 meV/atom. The value obtained for the density is 8.6 g/cm3. Its total DFT energy (no corrections) is -24.4 eV per cell. The magnetization is 2.69 μB/f.u. The value obtained for the density of states at the Fermi level is 3.5 states/eV/f.u.

Cell: 4.797 3.862 4.797 Å, 90.00 90.00 90.00°
Last column: magnetic moment on the atom in μB.
Atoms (fractional coordinates):
1 Au 0.000 0.000 0.000  -0.03
2 P 0.500 0.000 0.000  -0.17
3 P 0.000 0.000 0.500  -0.14
4 O 0.000 0.500 0.000  0.03
5 Re 0.500 0.500 0.500  2.77